1.
Crystalline Tm5In2Ru2Rh at its relaxed geometry, computed with PBE.

## Properties
The energy of formation from the pure elements is -0.459 eV per atom. Its space group is No. 127. The value obtained for the total magnetization is 0.000 μB per cell.

The structure in POSCAR format:
```
Tm5In2Ru2Rh
1.0
3.4162 0.0000 0.0000
0.0000 11.5821 0.0000
0.0000 0.0000 11.5821
In Tm Ru Rh
4 10 4 2
Direct
0.0000 0.8184 0.6816 In
0.0000 0.6816 0.1816 In
0.0000 0.3184 0.8184 In
0.0000 0.1816 0.3184 In
0.5000 0.0000 0.5000 Tm
0.5000 0.4380 0.3030 Tm
0.5000 0.3030 0.5620 Tm
0.5000 0.9380 0.1970 Tm
0.5000 0.0620 0.8030 Tm
0.5000 0.6970 0.4380 Tm
0.5000 0.5620 0.6970 Tm
0.5000 0.1970 0.0620 Tm
0.5000 0.8030 0.9380 Tm
0.5000 0.5000 0.0000 Tm
0.0000 0.1368 0.6368 Ru
0.0000 0.8632 0.3632 Ru
0.0000 0.6368 0.8632 Ru
0.0000 0.3632 0.1368 Ru
0.0000 0.5000 0.5000 Rh
0.0000 0.0000 0.0000 Rh
```

***

2.
Crystalline Ba2MnRe at its relaxed geometry, computed with PBE.

## Properties
The energy of formation from the pure elements is 0.695 eV per atom. Its space group is No. 99. The value obtained for the total magnetization is 1.967 μB per cell. For the energy relative to the lowest polymorph listed for this composition, the calculation gives 224 meV/atom.

The structure in POSCAR format:
```
Ba2MnRe
1.0
3.4646 0.0000 0.0000
0.0000 3.4646 0.0000
0.0000 0.0000 9.7913
Re Ba Mn
1 2 1
Direct
0.5000 0.5000 0.6541 Re
0.0000 0.0000 0.9188 Ba
0.5000 0.5000 0.3338 Ba
0.0000 0.0000 0.5933 Mn
```

***

Q: Among the records above, which one has the lowest energy of formation from the pure elements?
A: Tm5In2Ru2Rh

***

Q: total magnetization of number 1 (Tm5In2Ru2Rh)?
A: 0.000 μB per cell

***

Q: Among the records above, which one has the highest total magnetization?
A: Ba2MnRe